{"formula": "Mo2RhF", "functional": "GGA+U", "state": "optimized geometry", "vol_a3_per_cell": 145.4, "relative_energy_ev_per_fu": 0.00, "final_energy_ev_per_cell": -42.92, "lattice": [[6.6807, 0.0000, 0.0000], [0.0000, 6.6807, 0.0000], [3.3403, 3.3403, 3.2576]], "species": ["Mo", "Mo", "Mo", "Mo", "Rh", "Rh", "F", "F"], "fractional_positions": [[0.5905, 0.1250, 0.2500], [0.1595, 0.6250, 0.2500], [0.3750, 0.4095, 0.7500], [0.8750, 0.8405, 0.7500], [0.0000, 0.0000, 0.0000], [0.7500, 0.2500, 0.5000], [0.5000, 0.5000, 0.0000], [0.2500, 0.7500, 0.5000]]}